# NaPm2Br6

NaPm2Br6 after structural relaxation (PBE-GGA, the Alexandria database).

Cell and atoms, written as extended XYZ:
```
9
Lattice="7.238 0.000 0.000 -3.619 6.268 0.000 0.000 0.000 6.989" Properties=species:S:1:pos:R:3 pbc="T T T"
Na 0.000 0.000 0.000
Pm 0.000 4.179 3.494
Pm 3.619 2.089 3.494
Br -1.238 2.145 5.202
Br -2.381 4.123 1.787
Br 2.477 0.000 5.202
Br 1.238 2.145 1.787
Br 4.761 0.000 1.787
Br 2.381 4.123 5.202
```

Computed properties:
E_form (uncorrected) = -1472 kJ/mol of formula units
SG = P-31m, No. 162
magnetic moment = 0.775 μB/f.u.